KCrSb2, optimized geometry, DFT GGA-PBE; space-group type = No. 65; formation energy from raw total energies = 270.2 meV per atom
1.0
-3.013 -1.859 -4.620
2.877 -4.457 2.394
-2.599 -0.636 1.947
Cr K Sb
1 1 2
Cartesian
-2.806 -1.248 -1.337
0.139 -2.547 2.171
0.000 0.000 0.000
-0.068 -3.158 -1.113